Below is a geometry-optimized Ba2CuSb structure, with properties calculated at the PBE-GGA level.

a = 4.900 Å, b = 4.900 Å, c = 11.469 Å
α = 90.00°, β = 90.00°, γ = 90.00°
Space group I-4m2 (No. 119)
Inequivalent atoms, fractional coordinates:
Ba (0.000, 0.000, 0.000) x2
Ba (0.000, 0.500, 0.250) x2
Cu (0.000, 0.500, 0.750) x2
Sb (0.000, 0.000, 0.500) x2

crystal system	tetragonal

=====

Below is a geometry-optimized BaCu2Sb structure, with properties calculated at the PBE-GGA level.

a = 4.820 Å, b = 4.477 Å, c = 5.113 Å
α = 90.00°, β = 102.69°, γ = 90.00°
Space group Pm (No. 6)
Inequivalent atoms, fractional coordinates:
Ba (0.000, 0.000, 0.000) x1
Cu (0.229, 0.500, 0.574) x1
Cu (0.454, 0.000, 0.533) x1
Sb (0.689, 0.500, 0.408) x1

crystal system	monoclinic

=====

Below is a geometry-optimized BaCuSb structure, with properties calculated at the PBE-GGA level.

a = 5.6576 Å, b = 5.6576 Å, c = 6.8648 Å
α = 90.00°, β = 90.00°, γ = 120.00°
Space group P6_3/mmc (No. 194)
Inequivalent atoms, fractional coordinates:
Ba (0.3333, 0.6667, 0.2500) x2
Cu (0.0000, 0.0000, 0.0000) x2
Sb (0.3333, 0.6667, 0.7500) x2

crystal system	hexagonal

=====

Below is a geometry-optimized BaCuSb3 structure, with properties calculated at the PBE-GGA level.

a = 6.274 Å, b = 6.274 Å, c = 6.274 Å
α = 90.00°, β = 90.00°, γ = 90.00°
Space group Pm-3m (No. 221)
Inequivalent atoms, fractional coordinates:
Ba (0.000, 0.000, 0.000) x1
Cu (0.500, 0.500, 0.500) x1
Sb (0.000, 0.000, 0.500) x3

crystal system	cubic

=====

Below is a geometry-optimized Ba2CuSb structure, with properties calculated at the PBE-GGA level.

a = 8.078 Å, b = 8.078 Å, c = 8.078 Å
α = 90.00°, β = 90.00°, γ = 90.00°
Space group F-43m (No. 216)
Inequivalent atoms, fractional coordinates:
Ba (0.000, 0.000, 0.000) x4
Ba (0.250, 0.250, 0.250) x4
Cu (0.000, 0.000, 0.500) x4
Sb (0.250, 0.250, 0.750) x4

crystal system	cubic

=====

Below is a geometry-optimized BaCuSb structure, with properties calculated at the PBE-GGA level.

a = 4.610 Å, b = 4.610 Å, c = 10.283 Å
α = 77.09°, β = 89.94°, γ = 60.00°
Space group P1 (No. 1)
Inequivalent atoms, fractional coordinates:
Ba (0.000, 0.000, 0.000) x1
Ba (0.159, 0.678, 0.487) x1
Cu (0.411, 0.176, 0.236) x1
Cu (0.894, 0.208, 0.693) x1
Sb (0.573, 0.851, 0.729) x1
Sb (0.745, 0.509, 0.238) x1

crystal system	triclinic

=====

Below is a geometry-optimized BaCuSb structure, with properties calculated at the PBE-GGA level.

a = 4.846 Å, b = 4.846 Å, c = 7.611 Å
α = 90.00°, β = 90.00°, γ = 90.00°
Space group P4/nmm (No. 129, origin choice 2)
Inequivalent atoms, fractional coordinates:
Ba (0.250, 0.750, 0.000) x2
Cu (0.250, 0.250, 0.325) x2
Sb (0.250, 0.250, 0.661) x2

crystal system	tetragonal

=====

Below is a geometry-optimized Ba2CuSb structure, with properties calculated at the PBE-GGA level.

a = 4.765 Å, b = 4.846 Å, c = 12.657 Å
α = 90.00°, β = 90.00°, γ = 90.00°
Space group Amm2 (No. 38)
Inequivalent atoms, fractional coordinates:
Ba (0.000, 0.000, 0.000) x2
Ba (0.500, 0.000, 0.277) x2
Cu (0.500, 0.000, 0.578) x2
Sb (0.000, 0.000, 0.706) x2

crystal system	orthorhombic

=====

Below is a geometry-optimized Ba2CuSb structure, with properties calculated at the PBE-GGA level.

a = 4.053 Å, b = 4.336 Å, c = 8.151 Å
α = 90.00°, β = 90.00°, γ = 90.00°
Space group Pmmm (No. 47)
Inequivalent atoms, fractional coordinates:
Ba (0.000, 0.000, 0.244) x2
Cu (0.500, 0.500, 0.500) x1
Sb (0.500, 0.500, 0.000) x1

crystal system	orthorhombic

=====

Below is a geometry-optimized Ba3Cu2SbSe6 structure, with properties calculated at the PBE-GGA level.

a = 7.7312 Å, b = 7.7312 Å, c = 8.2846 Å
α = 90.00°, β = 90.00°, γ = 120.00°
Space group P-3m1 (No. 164)
Inequivalent atoms, fractional coordinates:
Ba (0.0000, 0.0000, 0.0000) x1
Ba (0.3333, 0.6667, 0.6184) x2
Cu (0.3333, 0.6667, 0.2327) x2
Sb (0.0000, 0.0000, 0.5000) x1
Se (0.1644, 0.3289, 0.2929) x6

crystal system	trigonal

=====

Below is a geometry-optimized BaCu2SbSe4 structure, with properties calculated at the PBE-GGA level.

a = 6.735 Å, b = 7.890 Å, c = 8.577 Å
α = 90.00°, β = 90.00°, γ = 90.00°
Space group I222 (No. 23)
Inequivalent atoms, fractional coordinates:
Ba (0.000, 0.000, 0.000) x2
Cu (0.000, 0.500, 0.156) x4
Sb (0.000, 0.000, 0.500) x2
Se (0.237, 0.185, 0.314) x8

crystal system	orthorhombic

=====

Below is a geometry-optimized BaCuSbSe3 structure, with properties calculated at the PBE-GGA level.

a = 8.951 Å, b = 4.201 Å, c = 9.245 Å
α = 90.00°, β = 104.66°, γ = 90.00°
Space group P2_1/m (No. 11)
Inequivalent atoms, fractional coordinates:
Ba (0.185, 0.250, 0.247) x2
Cu (0.073, 0.250, 0.581) x2
Sb (0.333, 0.750, 0.846) x2
Se (0.115, 0.250, 0.866) x2
Se (0.213, 0.750, 0.526) x2
Se (0.446, 0.750, 0.168) x2

crystal system	monoclinic

=====

Below is a geometry-optimized BaSmCu2Sb2 structure, with properties calculated at the PBE-GGA level.

a = 4.4916 Å, b = 4.4916 Å, c = 9.0305 Å
α = 90.00°, β = 90.00°, γ = 120.00°
Space group P-3m1 (No. 164)
Inequivalent atoms, fractional coordinates:
Ba (0.0000, 0.0000, 0.0000) x1
Sm (0.0000, 0.0000, 0.5000) x1
Cu (0.3333, 0.6667, 0.6965) x2
Sb (0.3333, 0.6667, 0.2721) x2

crystal system	trigonal

=====

Below is a geometry-optimized Ba2Cu4SnSb3 structure, with properties calculated at the PBE-GGA level.

a = 4.681 Å, b = 4.681 Å, c = 10.966 Å
α = 90.00°, β = 90.00°, γ = 90.00°
Space group P-4m2 (No. 115)
Inequivalent atoms, fractional coordinates:
Ba (0.000, 0.500, 0.237) x2
Cu (0.000, 0.000, 0.000) x1
Cu (0.000, 0.500, 0.632) x2
Cu (0.500, 0.500, 0.000) x1
Sn (0.000, 0.000, 0.500) x1
Sb (0.000, 0.500, 0.875) x2
Sb (0.500, 0.500, 0.500) x1

crystal system	tetragonal

=====

| no. | DOS at the Fermi energy (states/eV/cell) | E (eV per atom) | formation energy without anion corrections (meV/atom) |
| --- | --- | --- | --- |
| 1 | 2.259 | -3.354 | -338 |
| 2 | 1.785 | -3.809 | -250 |
| 3 | 0.733 | -3.411 | -31 |
| 4 | 4.653 | -2.344 | 1334 |
| 5 | 8.333 | -3.100 | -84 |
| 6 | 0.856 | -4.010 | -630 |
| 7 | 5.003 | -3.226 | 155 |
| 8 | 3.824 | -3.557 | -541 |
| 9 | 2.234 | -3.448 | -432 |
| 10 | 7.736 | -4.146 | -897 |
| 11 | 10.682 | -4.094 | -573 |
| 12 | 0.033 | -4.256 | -824 |
| 13 | 4.080 | -4.554 | -708 |
| 14 | 2.061 | -4.119 | -459 |